1.
## Cd2BiSe2 (GGA-PBE)

Data for an optimized crystal structure of Cd2BiSe2.

Cell: 5.9146 5.9146 5.9146 Å, 125.73 125.73 80.34°
Closest atoms and distances in Å follow each position.
Fractional coordinates of all 5 atoms:
1 Cd 0.1506 0.1506 0.0000  1 Cd 2.72, 4 Se 2.84
2 Cd 0.8494 0.8494 0.0000  1 Cd 2.72, 4 Se 2.84
3 Bi 0.5000 0.5000 0.0000  2 Cd 3.16, 8 Se 3.52
4 Se 0.2500 0.7500 0.5000  4 Cd 2.84
5 Se 0.7500 0.2500 0.5000  4 Cd 2.84

Summary:
Calculated total energy ... -12.51 eV per cell
Formation energy (no corrections) ... 0.03 eV/atom
Theoretical density ... 7.47 g cm⁻³
Distance to the lowest polymorph of the same formula ... 20.1 kJ per mole of atoms
SG ... I4/mmm (139)

---

2.
## Mn2AlCdB (GGA-PBE)

Data for an optimized crystal structure of Mn2AlCdB.

Cell: 4.7758 4.7758 3.9696 Å, 90.00 90.00 90.00°
Closest atoms and distances in Å follow each position.
Fractional coordinates of all 5 atoms:
1 Mn 0.0000 0.5000 0.0000  2 Cd 2.39
2 Mn 0.5000 0.0000 0.0000  2 Cd 2.39
3 Al 0.0000 0.0000 0.5000  8 Mn 3.11, 4 B 3.38
4 Cd 0.5000 0.5000 0.0000  2 B 1.98
5 B 0.5000 0.5000 0.5000  2 Cd 1.98

Summary:
Calculated total energy ... -18.92 eV per cell
Theoretical density ... 4.77 g cm⁻³
SG ... P4/mmm (123)

---

3.
## NaCu2Tc (GGA-PBE)

Data for an optimized crystal structure of NaCu2Tc.

Cell: 4.4007 4.4007 4.4007 Å, 60.00 60.00 60.00°
Closest atoms and distances in Å follow each position.
Fractional coordinates of all 4 atoms:
1 Na 0.0000 0.0000 0.0000  8 Cu 2.69
2 Cu 0.2500 0.2500 0.2500  4 Tc 2.69, 4 Na 2.69
3 Cu 0.7500 0.7500 0.7500  4 Na 2.69, 4 Tc 2.69
4 Tc 0.5000 0.5000 0.5000  8 Cu 2.69

Summary:
Calculated total energy ... -17.09 eV per cell
Theoretical density ... 6.84 g cm⁻³
Distance to the lowest polymorph of the same formula ... 0.0 kJ per mole of atoms
SG ... Fm-3m (225)

---

4.
## LiYGa2Hg (GGA-PBE)

Data for an optimized crystal structure of LiYGa2Hg.

Cell: 5.5613 5.5613 5.8001 Å, 90.00 90.00 90.00°
Closest atoms and distances in Å follow each position.
Fractional coordinates of all 5 atoms:
1 Li 0.0000 0.0000 0.0000  4 Hg 3.93, 8 Ga 4.02
2 Y 0.5000 0.5000 0.5000  4 Ga 2.78, 2 Hg 2.90
3 Ga 0.0000 0.5000 0.5000  2 Y 2.78
4 Ga 0.5000 0.0000 0.5000  2 Y 2.78
5 Hg 0.5000 0.5000 0.0000  2 Y 2.90

Summary:
Calculated total energy ... -12.52 eV per cell
Theoretical density ... 4.03 g cm⁻³
SG ... P4/mmm (123)

---

5.
## GeBiTe2N (GGA-PBE)

Data for an optimized crystal structure of GeBiTe2N.

Cell: 5.7459 5.7459 3.6668 Å, 90.00 90.00 90.00°
Closest atoms and distances in Å follow each position.
Fractional coordinates of all 5 atoms:
1 Ge 0.0000 0.0000 0.0000  2 N 1.83
2 Bi 0.5000 0.5000 0.5000  8 Te 3.41, 2 Bi 3.67
3 Te 0.0000 0.5000 0.0000  2 Ge 2.87
4 Te 0.5000 0.0000 0.0000  2 Ge 2.87
5 N 0.0000 0.0000 0.5000  2 Ge 1.83

Summary:
Calculated total energy ... -20.39 eV per cell
Formation energy (no corrections) ... 0.54 eV/atom
Theoretical density ... 7.56 g cm⁻³
Distance to the lowest polymorph of the same formula ... 0.0 kJ per mole of atoms
SG ... P4/mmm (123)

---

6.
## Mg16Zn12Au (GGA-PBE)

Data for an optimized crystal structure of Mg16Zn12Au.

Cell: 8.6342 8.6342 9.1289 Å, 109.29 109.29 107.53°
Closest atoms and distances in Å follow each position.
Fractional coordinates of all 29 atoms:
1 Mg 0.0000 0.0000 0.0000  6 Zn 2.89-3.00, 4 Mg 3.01-3.03, 1 Au 3.02
2 Mg 0.0734 0.6953 0.3484  5 Zn 2.86-3.10, 1 Au 2.93, 7 Mg 2.99-3.16
3 Mg 0.0850 0.3292 0.6537  5 Zn 2.77-3.02, 1 Au 3.01, 3 Mg 3.03-3.05
4 Mg 0.2782 0.2782 0.9677  5 Zn 2.92-3.11, 7 Mg 2.97-3.05
5 Mg 0.2933 0.9799 0.2754  3 Zn 2.77-2.90, 1 Au 2.78, 5 Mg 3.02-3.09
6 Mg 0.3122 0.6790 0.6608  9 Zn 2.97-3.31, 4 Mg 2.99-3.14
7 Mg 0.3292 0.0850 0.6537  5 Zn 2.77-3.02, 1 Au 3.01, 3 Mg 3.03-3.05
8 Mg 0.3689 0.6730 0.0696  4 Zn 2.80-2.95, 5 Mg 2.99-3.10
9 Mg 0.3979 0.9949 0.9899  5 Zn 2.87-3.00, 6 Mg 2.97-3.11
10 Mg 0.6730 0.3689 0.0696  4 Zn 2.80-2.95, 5 Mg 2.99-3.10
11 Mg 0.6740 0.6740 0.6587  12 Zn 2.92-3.17, 4 Mg 3.03-3.14
12 Mg 0.6790 0.3122 0.6608  9 Zn 2.97-3.31, 4 Mg 2.99-3.14
13 Mg 0.6953 0.0734 0.3484  5 Zn 2.86-3.10, 1 Au 2.93, 7 Mg 2.99-3.16
14 Mg 0.7273 0.7273 0.3560  6 Zn 2.91-3.18, 1 Au 2.93, 5 Mg 3.10
15 Mg 0.9799 0.2933 0.2754  3 Zn 2.77-2.90, 1 Au 2.78, 5 Mg 3.02-3.09
16 Mg 0.9949 0.3979 0.9899  5 Zn 2.87-3.00, 6 Mg 2.97-3.11
17 Zn 0.0445 0.6603 0.8505  3 Zn 2.60-2.70, 1 Mg 2.80
18 Zn 0.0510 0.8624 0.6886  3 Zn 2.63-2.64, 4 Mg 2.77-2.93
19 Zn 0.3260 0.5208 0.3072  3 Zn 2.59-2.71, 2 Mg 2.89-2.90
20 Zn 0.3326 0.3326 0.4904  3 Zn 2.61-2.69, 1 Au 2.84, 3 Mg 2.87-2.92
21 Zn 0.4853 0.4853 0.8339  3 Zn 2.61-2.66, 4 Mg 2.89-2.91
22 Zn 0.4984 0.8771 0.4944  3 Zn 2.59-2.70, 1 Mg 2.77
23 Zn 0.5208 0.3260 0.3072  3 Zn 2.59-2.71, 2 Mg 2.89-2.90
24 Zn 0.6603 0.0445 0.8505  3 Zn 2.60-2.70, 1 Mg 2.80
25 Zn 0.6625 0.8519 0.0169  3 Zn 2.60-2.66, 4 Mg 2.83-2.89, 1 Au 2.87
26 Zn 0.8519 0.6625 0.0169  3 Zn 2.60-2.66, 4 Mg 2.83-2.89, 1 Au 2.87
27 Zn 0.8624 0.0510 0.6886  3 Zn 2.63-2.64, 4 Mg 2.77-2.93
28 Zn 0.8771 0.4984 0.4944  3 Zn 2.59-2.70, 1 Mg 2.77
29 Au 0.0015 0.0015 0.3317  8 Mg 2.78-3.02, 3 Zn 2.84-2.87

Summary:
Calculated total energy ... -47.29 eV per cell
Theoretical density ... 4.23 g cm⁻³
SG ... Cm (8)

---

7.
## Pm6PdPb2 (GGA-PBE)

Data for an optimized crystal structure of Pm6PdPb2.

Cell: 9.0764 9.0764 3.8099 Å, 90.00 90.00 120.00°
Closest atoms and distances in Å follow each position.
Fractional coordinates of all 9 atoms:
1 Pm 0.0000 0.3995 0.0000  4 Pb 3.37, 1 Pd 3.63, 6 Pm 3.70-3.73
2 Pm 0.0000 0.7533 0.5000  2 Pd 2.94
3 Pm 0.2467 0.2467 0.5000  2 Pd 2.94
4 Pm 0.3995 0.0000 0.0000  4 Pb 3.37, 1 Pd 3.63, 6 Pm 3.70-3.73
5 Pm 0.6005 0.6005 0.0000  4 Pb 3.37, 1 Pd 3.63, 6 Pm 3.70-3.73
6 Pm 0.7533 0.0000 0.5000  2 Pd 2.94
7 Pd 0.0000 0.0000 0.0000  6 Pm 2.94
8 Pb 0.3333 0.6667 0.5000  9 Pm 3.37-3.49
9 Pb 0.6667 0.3333 0.5000  9 Pm 3.37-3.49

Summary:
Calculated total energy ... -45.28 eV per cell
Theoretical density ... 8.50 g cm⁻³
SG ... P-62m (189)

---

8.
## AlSI (GGA-PBE)

Data for an optimized crystal structure of AlSI.

Cell: 9.5186 9.5186 5.7286 Å, 90.57 90.57 22.46°
Closest atoms and distances in Å follow each position.
Fractional coordinates of all 6 atoms:
1 Al 0.0000 0.0000 0.0000  3 S 2.29-2.31, 1 I 2.49
2 Al 0.6113 0.6113 0.4836  3 S 2.32-2.38
3 S 0.0910 0.0910 0.7355  3 Al 2.29-2.38
4 S 0.5117 0.5117 0.2393  3 Al 2.31-2.32
5 I 0.2054 0.2054 0.3008  2 Al 2.77
6 I 0.8775 0.8775 0.8232  1 Al 2.49

Summary:
Calculated total energy ... -23.76 eV per cell
Formation energy (no corrections) ... -0.82 eV/atom
Theoretical density ... 3.11 g cm⁻³
SG ... Cm (8)